Record 1
## LiCdW2 (GGA-PBEsol)

Data for a relaxed LiCdW2 crystal.

Results
* SG: Cmm2
* total DFT energy (no corrections): -7.41 eV/atom
* energy relative to the elements: 1.14 eV/f.u.
* energy relative to the lowest polymorph listed for this composition: 0 meV/atom

a b c (Å): 2.7211 2.7211 9.3953
angles (deg): 90.00 90.00 109.44
Last column: nearest neighbours and their distance in Å.
Positions (direct):
Li  0.5000  0.5000  0.2431  4 Li 2.72, 2 W 2.79, 2 Cd 2.85
W  0.0000  0.0000  0.9972  6 W 2.70-2.72, 2 Li 2.79
W  0.5000  0.5000  0.7637  6 W 2.70-2.72, 2 Cd 2.97
Cd  0.0000  0.0000  0.4959  4 Cd 2.72, 2 Li 2.85, 2 W 2.97

---

Record 2
## LiCdW2 (GGA-PBEsol)

Data for a relaxed LiCdW2 crystal.

Results
* SG: Pm
* total DFT energy (no corrections): -7.29 eV/atom
* energy relative to the elements: 1.62 eV/f.u.
* energy relative to the lowest polymorph listed for this composition: 119 meV/atom

a b c (Å): 2.6617 4.3109 5.7307
angles (deg): 90.00 100.84 90.00
Last column: nearest neighbours and their distance in Å.
Positions (direct):
W  0.0439  0.0000  0.0105  4 W 2.61-2.66, 2 Li 2.72
W  0.7922  0.5000  0.2188  4 W 2.61-2.66, 1 Li 2.84
Li  0.2219  0.5000  0.7473  2 Cd 2.63, 2 Li 2.66, 3 W 2.72-2.84
Cd  0.4421  0.0000  0.5234  2 Li 2.63, 2 Cd 2.66, 2 W 2.93-2.95

---

Record 3
## LiCdW3 (GGA-PBEsol)

Data for a relaxed LiCdW3 crystal.

Results
* SG: Pm-3m
* total DFT energy (no corrections): -7.37 eV/atom
* energy relative to the elements: 7.73 eV/f.u.

a b c (Å): 4.2482 4.2482 4.2482
angles (deg): 90.00 90.00 90.00
Last column: nearest neighbours and their distance in Å.
Positions (direct):
W  0.5000  0.0000  0.0000  2 Li 2.12
W  0.0000  0.5000  0.0000  2 Li 2.12
Cd  0.5000  0.5000  0.5000  12 W 3.00
Li  0.0000  0.0000  0.0000  6 W 2.12
W  0.0000  0.0000  0.5000  2 Li 2.12

---

Record 4
## LiCd2W (GGA-PBEsol)

Data for a relaxed LiCd2W crystal.

Results
* SG: P4mm
* total DFT energy (no corrections): -4.20 eV/atom
* energy relative to the elements: 1.35 eV/f.u.
* energy relative to the lowest polymorph listed for this composition: 1 meV/atom

a b c (Å): 2.7503 2.7503 9.1725
angles (deg): 90.00 90.00 90.00
Last column: nearest neighbours and their distance in Å.
Positions (direct):
Cd  0.0000  0.0000  0.9873  4 Cd 2.75, 4 W 2.98
Cd  0.5000  0.5000  0.2659  4 Cd 2.75, 4 Li 2.94
W  0.5000  0.5000  0.7412  4 W 2.75, 4 Li 2.91, 4 Cd 2.98
Li  0.0000  0.0000  0.5056  4 Li 2.75, 4 W 2.91, 4 Cd 2.94

---

Record 5
## LiCd2W (GGA-PBEsol)

Data for a relaxed LiCd2W crystal.

Results
* SG: P4/mmm
* total DFT energy (no corrections): -4.21 eV/atom
* energy relative to the elements: 1.35 eV/f.u.
* energy relative to the lowest polymorph listed for this composition: 0 meV/atom

a b c (Å): 2.7802 5.0120 5.0120
angles (deg): 90.00 90.00 90.00
Last column: nearest neighbours and their distance in Å.
Positions (direct):
W  0.5000  0.0000  0.0000  2 W 2.78, 8 Cd 2.87
Cd  0.0000  0.0000  0.5000  2 Cd 2.78, 4 W 2.87, 4 Li 2.87
Cd  0.0000  0.5000  0.0000  2 Cd 2.78, 4 W 2.87, 4 Li 2.87
Li  0.5000  0.5000  0.5000  2 Li 2.78, 8 Cd 2.87

---

Record 6
## Li3CdW (GGA-PBEsol)

Data for a relaxed Li3CdW crystal.

Results
* SG: Pm-3m
* total DFT energy (no corrections): -2.69 eV/atom
* energy relative to the elements: 7.46 eV/f.u.

a b c (Å): 4.9396 4.9396 4.9396
angles (deg): 90.00 90.00 90.00
Last column: nearest neighbours and their distance in Å.
Positions (direct):
Cd  0.5000  0.5000  0.5000  12 Li 3.49
Li  0.0000  0.5000  0.0000  2 W 2.47
Li  0.5000  0.0000  0.0000  2 W 2.47
W  0.0000  0.0000  0.0000  6 Li 2.47
Li  0.0000  0.0000  0.5000  2 W 2.47

---

Record 7
## LiCdW2 (GGA-PBEsol)

Data for a relaxed LiCdW2 crystal.

Results
* SG: P4/mmm
* total DFT energy (no corrections): -6.75 eV/atom
* energy relative to the elements: 3.76 eV/f.u.
* energy relative to the lowest polymorph listed for this composition: 655 meV/atom

a b c (Å): 3.3747 3.3747 5.4714
angles (deg): 90.00 90.00 90.00
Last column: nearest neighbours and their distance in Å.
Positions (direct):
Cd  0.5000  0.5000  0.0000  2 Li 2.74, 8 W 2.85
W  0.0000  0.0000  0.2859  1 W 2.34
Li  0.5000  0.5000  0.5000  8 W 2.66, 2 Cd 2.74
W  0.0000  0.0000  0.7141  1 W 2.34

---

Record 8
## Li2CdW (GGA-PBEsol)

Data for a relaxed Li2CdW crystal.

Results
* SG: P2/m
* total DFT energy (no corrections): -4.29 eV/atom
* energy relative to the elements: 1.76 eV/f.u.
* energy relative to the lowest polymorph listed for this composition: 129 meV/atom

a b c (Å): 2.5877 4.7778 5.2925
angles (deg): 90.00 92.48 90.00
Last column: nearest neighbours and their distance in Å.
Positions (direct):
Li  0.8629  0.0000  0.7780  3 Li 2.43-2.59
Li  0.1371  0.0000  0.2220  3 Li 2.43-2.59
W  0.5000  0.5000  0.0000  2 W 2.59, 4 Li 2.84, 2 Cd 2.89
Cd  0.0000  0.5000  0.5000  2 Cd 2.59, 4 Li 2.84, 2 W 2.89

---

Record 9
## Li2CdW (GGA-PBEsol)

Data for a relaxed Li2CdW crystal.

Results
* SG: P4/mmm
* total DFT energy (no corrections): -3.99 eV/atom
* energy relative to the elements: 2.97 eV/f.u.
* energy relative to the lowest polymorph listed for this composition: 431 meV/atom

a b c (Å): 3.9321 3.9321 4.0852
angles (deg): 90.00 90.00 90.00
Last column: nearest neighbours and their distance in Å.
Positions (direct):
Cd  0.0000  0.0000  0.5000  4 W 2.78, 8 Li 2.84
Li  0.0000  0.5000  0.0000  4 Li 2.78, 4 W 2.84, 4 Cd 2.84
W  0.5000  0.5000  0.5000  4 Cd 2.78, 8 Li 2.84
Li  0.5000  0.0000  0.0000  4 Li 2.78, 4 Cd 2.84, 4 W 2.84

---

Record 10
## Li2CdW (GGA-PBEsol)

Data for a relaxed Li2CdW crystal.

Results
* SG: P4/mmm
* total DFT energy (no corrections): -4.42 eV/atom
* energy relative to the elements: 1.26 eV/f.u.
* energy relative to the lowest polymorph listed for this composition: 3 meV/atom

a b c (Å): 2.6459 2.6459 9.2530
angles (deg): 90.00 90.00 90.00
Last column: nearest neighbours and their distance in Å.
Positions (direct):
Cd  0.5000  0.5000  0.5000  4 Cd 2.65
Li  0.0000  0.0000  0.2423  4 Li 2.65, 4 W 2.92
Li  0.0000  0.0000  0.7577  4 Li 2.65, 4 W 2.92
W  0.5000  0.5000  0.0000  4 W 2.65, 8 Li 2.92

---

Record 11
## Li2CdW (GGA-PBEsol)

Data for a relaxed Li2CdW crystal.

Results
* SG: I4/mmm
* total DFT energy (no corrections): -3.94 eV/atom
* energy relative to the elements: 3.18 eV/f.u.
* energy relative to the lowest polymorph listed for this composition: 485 meV/atom

a b c (Å): 4.0013 4.0013 4.9126
angles (deg): 114.03 114.03 90.00
Last column: nearest neighbours and their distance in Å.
Positions (direct):
Cd  0.0000  0.0000  0.0000  4 W 2.83, 8 Li 2.83
Li  0.7500  0.2500  0.5000  4 Li 2.83, 4 W 2.83, 4 Cd 2.83
Li  0.2500  0.7500  0.5000  4 Li 2.83, 4 W 2.83, 4 Cd 2.83
W  0.5000  0.5000  0.0000  4 Cd 2.83, 8 Li 2.83

---

Record 12
## Li2CdW (GGA-PBEsol)

Data for a relaxed Li2CdW crystal.

Results
* SG: Cmm2
* total DFT energy (no corrections): -4.42 eV/atom
* energy relative to the elements: 1.24 eV/f.u.
* energy relative to the lowest polymorph listed for this composition: 0 meV/atom

a b c (Å): 2.7137 2.7137 9.8314
angles (deg): 90.00 90.00 111.02
Last column: nearest neighbours and their distance in Å.
Positions (direct):
Cd  0.5000  0.5000  0.2479  4 Cd 2.71, 2 Li 2.83, 2 W 2.96
Li  0.5000  0.5000  0.7413  6 Li 2.71-3.02, 2 W 2.79
Li  0.0000  0.0000  0.0059  6 Li 2.71-3.02, 2 Cd 2.83
W  0.0000  0.0000  0.5049  4 W 2.71, 2 Li 2.79, 2 Cd 2.96

---

Record 13
## LiCd2W (GGA-PBEsol)

Data for a relaxed LiCd2W crystal.

Results
* SG: F-43m
* total DFT energy (no corrections): -3.77 eV/atom
* energy relative to the elements: 3.10 eV/f.u.
* energy relative to the lowest polymorph listed for this composition: 438 meV/atom

a b c (Å): 4.6152 4.6152 4.6152
angles (deg): 60.00 60.00 60.00
Last column: nearest neighbours and their distance in Å.
Positions (direct):
Li  0.5000  0.5000  0.5000  4 Cd 2.83, 4 W 2.83
W  0.2500  0.2500  0.2500  4 Cd 2.83, 4 Li 2.83
Cd  0.7500  0.7500  0.7500  4 Li 2.83, 4 Cd 2.83
Cd  0.0000  0.0000  0.0000  4 Cd 2.83, 4 W 2.83

---

Record 14
## LiZnCdW2 (GGA-PBEsol)

Data for a relaxed LiZnCdW2 crystal.

Results
* SG: P4/mmm
* total DFT energy (no corrections): -4.94 eV/atom
* energy relative to the elements: 7.66 eV/f.u.

a b c (Å): 4.2363 4.2363 4.3823
angles (deg): 90.00 90.00 90.00
Last column: nearest neighbours and their distance in Å.
Positions (direct):
Cd  0.0000  0.0000  0.5000  2 Li 2.19
W  0.5000  0.0000  0.0000  2 Li 2.12
Li  0.0000  0.0000  0.0000  4 W 2.12, 2 Cd 2.19
W  0.0000  0.5000  0.0000  2 Li 2.12
Zn  0.5000  0.5000  0.5000  4 Cd 3.00, 8 W 3.05

---

Record 15
## Li2Y2Cd (GGA-PBEsol)

Data for a relaxed Li2Y2Cd crystal.

Results
* SG: I4/mmm
* total DFT energy (no corrections): -3.70 eV/atom
* energy relative to the elements: 0.25 eV/f.u.

a b c (Å): 3.6421 3.6421 9.7204
angles (deg): 100.80 100.80 90.00
Last column: nearest neighbours and their distance in Å.
Positions (direct):
Li  0.2500  0.7500  0.5000  4 Li 2.58
Li  0.7500  0.2500  0.5000  4 Li 2.58
Cd  0.0000  0.0000  0.0000  8 Y 3.16
Y  0.4021  0.4021  0.8042  4 Cd 3.16, 4 Li 3.38
Y  0.5979  0.5979  0.1958  4 Cd 3.16, 4 Li 3.38

---

Record 16
## Li4YCd (GGA-PBEsol)

Data for a relaxed Li4YCd crystal.

Results
* SG: F-43m
* total DFT energy (no corrections): -2.71 eV/atom
* energy relative to the elements: -0.40 eV/f.u.

a b c (Å): 5.4386 5.4386 5.4386
angles (deg): 60.00 60.00 60.00
Last column: nearest neighbours and their distance in Å.
Positions (direct):
Li  0.3732  0.3732  0.8805  6 Li 2.68-2.76
Cd  0.0000  0.0000  0.0000  12 Li 3.18, 4 Y 3.33
Li  0.8805  0.3732  0.3732  6 Li 2.68-2.76
Li  0.3732  0.3732  0.3732  6 Li 2.68-2.76
Li  0.3732  0.8805  0.3732  6 Li 2.68-2.76
Y  0.7500  0.7500  0.7500  12 Li 3.19, 4 Cd 3.33

---

Record 17
## LiZn4Cd (GGA-PBEsol)

Data for a relaxed LiZn4Cd crystal.

Results
* SG: F-43m
* total DFT energy (no corrections): -1.70 eV/atom
* energy relative to the elements: -0.72 eV/f.u.

a b c (Å): 5.0676 5.0676 5.0676
angles (deg): 60.00 60.00 60.00
Last column: nearest neighbours and their distance in Å.
Positions (direct):
Li  0.0000  0.0000  0.0000  12 Zn 2.97, 4 Cd 3.10
Zn  0.3746  0.3746  0.8762  6 Zn 2.53-2.54
Cd  0.7500  0.7500  0.7500  12 Zn 2.97, 4 Li 3.10
Zn  0.8762  0.3746  0.3746  6 Zn 2.53-2.54
Zn  0.3746  0.3746  0.3746  6 Zn 2.53-2.54
Zn  0.3746  0.8762  0.3746  6 Zn 2.53-2.54

---

Record 18
## Li2ZnCd (GGA-PBEsol)

Data for a relaxed Li2ZnCd crystal.

Results
* SG: P4mm
* total DFT energy (no corrections): -1.81 eV/atom
* energy relative to the elements: -0.54 eV/f.u.

a b c (Å): 3.1259 3.1259 6.6931
angles (deg): 90.00 90.00 90.00
Last column: nearest neighbours and their distance in Å.
Positions (direct):
Cd  0.5000  0.5000  0.7497  4 Li 2.81, 4 Zn 2.87, 4 Cd 3.13
Zn  0.0000  0.0000  0.4762  4 Li 2.62, 4 Cd 2.87
Li  0.0000  0.0000  0.0079  4 Cd 2.81, 8 Li 2.81-3.13, 1 Zn 3.13
Li  0.5000  0.5000  0.2662  4 Zn 2.62, 4 Li 2.81

---

Record 19
## LiZnCd2 (GGA-PBEsol)

Data for a relaxed LiZnCd2 crystal.

Results
* SG: I-4m2
* total DFT energy (no corrections): -1.62 eV/atom
* energy relative to the elements: -0.53 eV/f.u.

a b c (Å): 4.3595 4.3595 4.8055
angles (deg): 116.97 116.97 90.00
Last column: nearest neighbours and their distance in Å.
Positions (direct):
Zn  0.2500  0.7500  0.5000  8 Cd 2.85-3.08, 4 Li 2.85
Cd  0.0000  0.0000  0.0000  4 Cd 2.85, 4 Zn 2.85, 4 Li 3.08
Li  0.5000  0.5000  0.0000  8 Cd 2.85-3.08, 4 Zn 2.85
Cd  0.7500  0.2500  0.5000  4 Cd 2.85, 4 Li 2.85, 4 Zn 3.08

---

Record 20
## LiZnCd (GGA-PBEsol)

Data for a relaxed LiZnCd crystal.

Results
* SG: P3m1
* total DFT energy (no corrections): -1.64 eV/atom
* energy relative to the elements: -0.18 eV/f.u.
* energy relative to the lowest polymorph listed for this composition: 104 meV/atom

a b c (Å): 2.8984 2.8984 7.0122
angles (deg): 90.00 90.00 120.00
Last column: nearest neighbours and their distance in Å.
Positions (direct):
Cd  0.0000  0.0000  0.9992  6 Cd 2.90, 3 Li 2.95, 3 Zn 2.96
Zn  0.6667  0.3333  0.3475  3 Li 2.72, 6 Zn 2.90, 3 Cd 2.96
Li  0.3333  0.6667  0.6532  3 Zn 2.72, 6 Li 2.90, 3 Cd 2.95